{"formula": "Li2Fe3TeO8", "functional": "PBE with a Hubbard U", "state": "optimized geometry", "cell": [[3.0136, -5.2198, 0.0000], [3.0136, 5.2198, 0.0000], [0.0000, 0.0000, 9.8668]], "species": ["Fe", "Fe", "Li", "O", "Li", "Te", "O", "O", "O", "Fe", "O", "O", "O", "Fe", "O", "O", "Te", "Li", "Fe", "O", "O", "O", "Li", "Fe", "O", "O", "O", "O"], "fractional_positions": [[0.3383, 0.1691, 0.7127], [0.6617, 0.8309, 0.2127], [0.3333, 0.6667, 0.9082], [0.8364, 0.6727, 0.0955], [0.6667, 0.3333, 0.4082], [0.3333, 0.6667, 0.4843], [0.1636, 0.3273, 0.5955], [0.8364, 0.1636, 0.0955], [0.4818, 0.5182, 0.3450], [0.8309, 0.1691, 0.7127], [0.6727, 0.8364, 0.5955], [0.4818, 0.9636, 0.3450], [0.5182, 0.0364, 0.8450], [0.8309, 0.6617, 0.7127], [0.0000, 0.0000, 0.8040], [0.0364, 0.5182, 0.3450], [0.6667, 0.3333, 0.9843], [0.0000, 0.0000, 0.4887], [0.1691, 0.3383, 0.2127], [0.0000, 0.0000, 0.3040], [0.3333, 0.6667, 0.1088], [0.1636, 0.8364, 0.5955], [0.0000, 0.0000, 0.9887], [0.1691, 0.8309, 0.2127], [0.9636, 0.4818, 0.8450], [0.5182, 0.4818, 0.8450], [0.6667, 0.3333, 0.6088], [0.3273, 0.1636, 0.0955]], "spacegroup": "P6_3mc", "e_above_lowest_polymorph_mev_per_atom": 6}